A relaxed structure of Zr6CuN4. Source: Alexandria, functional PBE.

Output
Space-group type   Cmcm, No. 63
ΔE_f (raw)   -1306 meV per atom

a b c (Å): 5.7741 5.7741 17.1892
angles (deg): 90.00 90.00 146.55
Last column: nearest neighbours and their distance in Å.
Atoms (fractional coordinates):
Zr 0.0000 0.0000 0.0000  6 N 2.34-2.35
Zr 0.0000 0.0000 0.5000  6 N 2.34-2.35
Zr 0.1565 0.8435 0.7500  2 N 2.31
Zr 0.2757 0.7243 0.0789  5 N 2.25-2.36
Zr 0.2757 0.7243 0.4211  5 N 2.25-2.36
Zr 0.4641 0.5359 0.6519  3 N 2.23-2.26
Zr 0.4641 0.5359 0.8481  3 N 2.23-2.26
Zr 0.5359 0.4641 0.1519  3 N 2.23-2.26
Zr 0.5359 0.4641 0.3481  3 N 2.23-2.26
Zr 0.7243 0.2757 0.5789  5 N 2.25-2.36
Zr 0.7243 0.2757 0.9211  5 N 2.25-2.36
Zr 0.8435 0.1565 0.2500  2 N 2.31
Cu 0.1558 0.8442 0.2500  6 Zr 2.66-2.71
Cu 0.8442 0.1558 0.7500  6 Zr 2.66-2.71
N 0.0946 0.9054 0.6219  6 Zr 2.26-2.34
N 0.0946 0.9054 0.8781  6 Zr 2.26-2.34
N 0.3625 0.6375 0.5397  6 Zr 2.23-2.36
N 0.3625 0.6375 0.9603  6 Zr 2.23-2.36
N 0.6375 0.3625 0.0397  6 Zr 2.23-2.36
N 0.6375 0.3625 0.4603  6 Zr 2.23-2.36
N 0.9054 0.0946 0.1219  6 Zr 2.26-2.34
N 0.9054 0.0946 0.3781  6 Zr 2.26-2.34

=====

A relaxed structure of ZrCuN. Source: Alexandria, functional PBE.

Output
Space-group type   C2/m, No. 12
ΔE_f (raw)   -697 meV per atom

a b c (Å): 3.6306 3.6306 8.2743
angles (deg): 102.34 102.34 60.40
Last column: nearest neighbours and their distance in Å.
Atoms (fractional coordinates):
Zr 0.2198 0.2198 0.1630  4 N 2.14-2.22
Zr 0.7802 0.7802 0.8370  4 N 2.14-2.22
Cu 0.3557 0.3557 0.5702  3 Cu 2.38
Cu 0.6443 0.6443 0.4298  3 Cu 2.38
N 0.1307 0.1307 0.8858  4 Zr 2.14-2.22
N 0.8693 0.8693 0.1142  4 Zr 2.14-2.22

=====

- Among the records above, which one has the lowest ΔE_f (raw)?
  Zr6CuN4